Computed, not measured: a relaxed structure of LiCr2CoF at the GGA+U level of DFT.

a b c (Å): 5.062 3.864 5.062
angles (deg): 90.00 90.00 90.00
Site moments in Bohr magnetons follow the coordinates.
Element x y z (fractional)
Cr: 0.000 0.000 0.500  4.29
Cr: 0.500 0.000 0.000  4.38
Co: 0.000 0.000 0.000  -1.47
F: 0.000 0.500 0.000  0.08
Li: 0.500 0.500 0.500  0.01

Calculated values
**Electronic total energy**: -4.52 eV/atom